18
Lattice="-1.061 5.552 7.465 -4.634 -3.545 1.978 5.849 -5.632 5.020" Properties=species:S:1:pos:R:3 comment="Tb6ThSc2, relaxed, DFT GGA-PBE" sg="P2_1/c, No. 14" energy_ev_per_atom=-5.183 vol_a3_per_fu=275.0 pbc="T T T"
Tb 2.037 -3.101 6.922
Tb -0.011 -1.603 4.586
Tb -1.668 -0.462 1.786
Tb 1.442 0.237 7.580
Tb -0.525 3.000 6.961
Tb 3.108 -0.254 10.828
Tb -1.883 -0.524 7.541
Tb 0.165 -2.022 9.877
Tb 1.822 -3.163 12.677
Tb -1.288 -3.862 6.882
Tb 0.679 -6.626 7.501
Tb -2.954 -3.372 3.634
Th -2.848 1.003 4.721
Th 2.924 -2.816 2.510
Sc 0.376 1.583 4.024
Sc -1.229 1.471 9.751
Sc 1.383 -5.096 4.711
Sc -0.222 -5.208 10.438